1.
## BaMgTlAu (GGA-PBE)

Data for a geometry-optimized BaMgTlAu structure.

Output
Volume = 447.3 Å³ per cell
Energy above the most stable polymorph in this dataset = 0 meV/atom
E = -2.590 eV per atom

```
data_BaMgTlAu
_chemical_formula_sum 'Ba4 Mg4 Tl4 Au4'
_cell_length_a 7.648
_cell_length_b 7.648
_cell_length_c 7.648
_cell_angle_alpha 90.00
_cell_angle_beta 90.00
_cell_angle_gamma 90.00
_space_group_name_H-M_alt 'F -4 3 m'
_space_group_IT_number 216
_space_group_name_Hall 'F -4 2 3'
loop_
_atom_site_label
_atom_site_fract_x
_atom_site_fract_y
_atom_site_fract_z
_atom_site_occupancy
Ba1 0.000 0.000 0.000 1
Mg1 0.000 0.000 0.500 1
Tl1 0.250 0.250 0.250 1
Au1 0.250 0.250 0.750 1
```

=====

2.
## CsTbSO (GGA-PBE)

Data for a geometry-optimized CsTbSO structure.

Output
Volume = 234.3 Å³ per cell
Energy above the most stable polymorph in this dataset = 310 meV/atom
Magnetic moment = 0.0 μB/f.u.
E = -5.558 eV per atom

```
data_CsTbSO
_chemical_formula_sum 'Cs2 Tb2 S2 O2'
_cell_length_a 4.687
_cell_length_b 4.687
_cell_length_c 10.663
_cell_angle_alpha 90.00
_cell_angle_beta 90.00
_cell_angle_gamma 90.00
_space_group_name_H-M_alt 'P 4/n m m'
_space_group_IT_number 129
loop_
_space_group_symop_operation_xyz
'x,y,z'
'-x,-y,-z'
'-y+1/2,x,z'
'y+1/2,-x,-z'
'-x+1/2,-y+1/2,z'
'x+1/2,y+1/2,-z'
'y,-x+1/2,z'
'-y,x+1/2,-z'
'x+1/2,-y,-z'
'-x+1/2,y,z'
'-y,-x,-z'
'y,x,z'
'-x,y+1/2,-z'
'x,-y+1/2,z'
'y+1/2,x+1/2,-z'
'-y+1/2,-x+1/2,z'
loop_
_atom_site_label
_atom_site_fract_x
_atom_site_fract_y
_atom_site_fract_z
_atom_site_occupancy
Cs1 0.250 0.750 0.000 1
Tb1 0.250 0.250 0.444 1
S1 0.250 0.250 0.209 1
O1 0.250 0.750 0.500 1
```

=====

3.
## NbAgAsO (GGA-PBE)

Data for a geometry-optimized NbAgAsO structure.

Output
Volume = 138.4 Å³ per cell
Energy above the most stable polymorph in this dataset = 0 meV/atom
Magnetic moment = 0.0 μB/f.u.
E = -6.362 eV per atom

```
data_NbAgAsO
_chemical_formula_sum 'Nb2 Ag2 As2 O2'
_cell_length_a 3.951
_cell_length_b 6.650
_cell_length_c 5.268
_cell_angle_alpha 90.00
_cell_angle_beta 90.00
_cell_angle_gamma 90.00
_space_group_name_H-M_alt 'P m c 21'
_space_group_IT_number 26
loop_
_space_group_symop_operation_xyz
'x,y,z'
'-x,-y,z+1/2'
'-x,y,z'
'x,-y,z+1/2'
loop_
_atom_site_label
_atom_site_fract_x
_atom_site_fract_y
_atom_site_fract_z
_atom_site_occupancy
Nb1 0.000 0.135 0.000 1
Ag1 0.500 0.461 0.701 1
As1 0.000 0.254 0.492 1
O1 0.500 0.150 0.009 1
```

=====

4.
## ZrCdCuAs (GGA-PBE)

Data for a geometry-optimized ZrCdCuAs structure.

Output
Volume = 293.5 Å³ per cell
Energy above the most stable polymorph in this dataset = 0 meV/atom
Magnetic moment = 0.0 μB/f.u.
E = -4.418 eV per atom

```
data_ZrCdCuAs
_chemical_formula_sum 'Zr4 Cd4 Cu4 As4'
_cell_length_a 6.645
_cell_length_b 6.645
_cell_length_c 6.645
_cell_angle_alpha 90.00
_cell_angle_beta 90.00
_cell_angle_gamma 90.00
_space_group_name_H-M_alt 'F -4 3 m'
_space_group_IT_number 216
_space_group_name_Hall 'F -4 2 3'
loop_
_atom_site_label
_atom_site_fract_x
_atom_site_fract_y
_atom_site_fract_z
_atom_site_occupancy
Zr1 0.000 0.000 0.000 1
Cd1 0.250 0.250 0.750 1
Cu1 0.000 0.000 0.500 1
As1 0.250 0.250 0.250 1
```

=====

5.
## Dy5P (GGA-PBE)

Data for a geometry-optimized Dy5P structure.

Output
Volume = 778.7 Å³ per cell
Magnetic moment = 0.4 μB/f.u.
E = -4.705 eV per atom

```
data_Dy5P
_chemical_formula_sum 'Dy20 P4'
_cell_length_a 6.259
_cell_length_b 10.841
_cell_length_c 11.476
_cell_angle_alpha 90.00
_cell_angle_beta 90.00
_cell_angle_gamma 90.00
_space_group_name_H-M_alt 'C m c m'
_space_group_IT_number 63
_space_group_name_Hall '-C 2c 2'
loop_
_atom_site_label
_atom_site_fract_x
_atom_site_fract_y
_atom_site_fract_z
_atom_site_occupancy
Dy1 0.000 0.167 0.021 1
Dy2 0.000 0.331 0.750 1
Dy3 0.247 0.084 0.750 1
P1 0.000 0.168 0.250 1
```

=====

6.
## Gd3Ho3Te2Os (GGA-PBE)

Data for a geometry-optimized Gd3Ho3Te2Os structure.

Output
Volume = 243.9 Å³ per cell
Energy above the most stable polymorph in this dataset = 0 meV/atom
Magnetic moment = 0.0 μB/f.u.
E = -5.765 eV per atom

```
data_Gd3Ho3Te2Os
_chemical_formula_sum 'Gd3 Ho3 Te2 Os1'
_cell_length_a 8.3237
_cell_length_b 8.3237
_cell_length_c 4.0654
_cell_angle_alpha 90.00
_cell_angle_beta 90.00
_cell_angle_gamma 120.00
_space_group_name_H-M_alt 'P -6 2 m'
_space_group_IT_number 189
_space_group_name_Hall 'P -6 -2'
loop_
_atom_site_label
_atom_site_fract_x
_atom_site_fract_y
_atom_site_fract_z
_atom_site_occupancy
Gd1 0.0000 0.6074 0.0000 1
Ho1 0.0000 0.2373 0.5000 1
Te1 0.3333 0.6667 0.5000 1
Os1 0.0000 0.0000 0.0000 1
```